1.
DFT (PBE) results for a relaxed Cr5Rh4 crystal.

a b c (Å): 5.8805 5.8805 5.8805
angles (deg): 95.75 95.75 143.08
Positions (direct):
1 Cr 0.0000 0.0000 0.0000
2 Cr 0.3354 0.3354 0.6708
3 Cr 0.3354 0.6646 0.0000
4 Cr 0.6646 0.3354 0.0000
5 Cr 0.6646 0.6646 0.3292
6 Rh 0.0000 0.3211 0.3211
7 Rh 0.0000 0.6789 0.6789
8 Rh 0.3211 0.0000 0.3211
9 Rh 0.6789 0.0000 0.6789

Properties
The calculation puts the distance to the lowest polymorph of the same formula at 0.00 eV/f.u. As for the energy relative to the elements: 0.034 eV/atom. Its crystal system is tetragonal.



2.
DFT (PBE) results for a relaxed MgMn2FeN crystal.

a b c (Å): 3.7732 3.7732 3.7977
angles (deg): 90.00 90.00 90.00
Positions (direct):
1 Mg 0.0000 0.0000 0.0000
2 Mn 0.0000 0.5000 0.5000
3 Mn 0.5000 0.0000 0.5000
4 Fe 0.5000 0.5000 0.0000
5 N 0.5000 0.5000 0.5000

Properties
For the electronic total energy, the calculation gives -7.455 eV/atom. Its crystal system is tetragonal.



3.
DFT (PBE) results for a relaxed Tb3PmMg4 crystal.

a b c (Å): 5.4016 5.4016 7.6097
angles (deg): 90.00 90.00 90.00
Positions (direct):
1 Tb 0.0000 0.0000 0.0000
2 Tb 0.0000 0.0000 0.5000
3 Tb 0.5000 0.5000 0.0000
4 Pm 0.5000 0.5000 0.5000
5 Mg 0.0000 0.5000 0.2479
6 Mg 0.0000 0.5000 0.7521
7 Mg 0.5000 0.0000 0.2479
8 Mg 0.5000 0.0000 0.7521

Properties
As for the energy relative to the elements: -0.092 eV/atom. Its crystal system is tetragonal.



4.
DFT (PBE) results for a relaxed P2IrRu crystal.

a b c (Å): 2.7664 2.7664 9.7788
angles (deg): 90.00 90.00 119.53
Positions (direct):
1 P 0.0000 0.0000 0.0000
2 P 0.5000 0.5000 0.3610
3 Ir 0.5000 0.5000 0.8012
4 Ru 0.0000 0.0000 0.5500

Properties
The calculation puts the distance to the lowest polymorph of the same formula at 2.93 eV/f.u. As for the energy relative to the elements: 0.269 eV/atom. Its crystal system is orthorhombic.



5.
DFT (PBE) results for a relaxed YCu2Re crystal.

a b c (Å): 4.5380 4.5380 4.5380
angles (deg): 60.00 60.00 60.00
Positions (direct):
1 Y 0.0000 0.0000 0.0000
2 Cu 0.2500 0.2500 0.2500
3 Cu 0.7500 0.7500 0.7500
4 Re 0.5000 0.5000 0.5000

Properties
The calculation puts the distance to the lowest polymorph of the same formula at 0.24 eV/f.u. As for the energy relative to the elements: 0.323 eV/atom. Its crystal system is cubic.



6.
DFT (PBE) results for a relaxed InCuRe2 crystal.

a b c (Å): 4.7042 4.7042 5.0441
angles (deg): 97.38 97.38 35.04
Positions (direct):
1 In 0.0000 0.0000 0.0000
2 Cu 0.7530 0.7530 0.2203
3 Re 0.2476 0.2476 0.6842
4 Re 0.4996 0.4996 0.4968

Properties
As for the energy relative to the elements: 0.449 eV/atom. Its crystal system is monoclinic.



7.
DFT (PBE) results for a relaxed LaMn2Ru crystal.

a b c (Å): 5.4341 5.4341 5.4341
angles (deg): 141.10 129.61 65.43
Positions (direct):
1 La 0.0000 0.0000 0.0000
2 Mn 0.2754 0.7754 0.5000
3 Mn 0.5781 0.5781 0.0000
4 Ru 0.7668 0.2668 0.5000

Properties
As for the energy relative to the elements: 0.361 eV/atom. Its crystal system is orthorhombic.



8.
DFT (PBE) results for a relaxed LiGaPd4 crystal.

a b c (Å): 4.5784 7.9171 5.0777
angles (deg): 90.00 90.00 90.00
Positions (direct):
1 Li 0.0000 0.0000 0.0000
2 Li 0.5000 0.0000 0.5000
3 Ga 0.0000 0.5000 0.5000
4 Ga 0.5000 0.5000 0.0000
5 Pd 0.0000 0.1697 0.4185
6 Pd 0.0000 0.3326 0.9193
7 Pd 0.0000 0.6674 0.0807
8 Pd 0.0000 0.8303 0.5815
9 Pd 0.5000 0.1697 0.0815
10 Pd 0.5000 0.3326 0.5807
11 Pd 0.5000 0.6674 0.4193
12 Pd 0.5000 0.8303 0.9185

Properties
The calculation puts the distance to the lowest polymorph of the same formula at 0.00 eV/f.u. As for the energy relative to the elements: -0.359 eV/atom. Its crystal system is orthorhombic.



9.
DFT (PBE) results for a relaxed SmZrZnAu crystal.

a b c (Å): 5.0038 5.0038 5.0038
angles (deg): 60.00 60.00 60.00
Positions (direct):
1 Sm 0.0000 0.0000 0.0000
2 Zr 0.5000 0.5000 0.5000
3 Zn 0.7500 0.7500 0.7500
4 Au 0.2500 0.2500 0.2500

Properties
As for the energy relative to the elements: -0.347 eV/atom. Its crystal system is cubic.



10.
DFT (PBE) results for a relaxed Tl3InBi crystal.

a b c (Å): 5.7183 5.7183 5.7183
angles (deg): 90.00 90.00 90.00
Positions (direct):
1 Tl 0.0000 0.0000 0.5000
2 Tl 0.0000 0.5000 0.0000
3 Tl 0.5000 0.0000 0.0000
4 In 0.0000 0.0000 0.0000
5 Bi 0.5000 0.5000 0.5000

Properties
The calculation puts the distance to the lowest polymorph of the same formula at 1.60 eV/f.u. As for the energy relative to the elements: 0.360 eV/atom. Its crystal system is cubic.



11.
DFT (PBE) results for a relaxed ZrTaSi2 crystal.

a b c (Å): 4.6554 4.6554 4.9358
angles (deg): 115.11 115.11 46.69
Positions (direct):
1 Zr 0.0000 0.0000 0.0000
2 Ta 0.5000 0.5000 0.5000
3 Si 0.2421 0.2421 0.6857
4 Si 0.7579 0.7579 0.3143

Properties
The calculation puts the distance to the lowest polymorph of the same formula at 1.02 eV/f.u. Its crystal system is monoclinic.



12.
DFT (PBE) results for a relaxed NaCa3Au4 crystal.

a b c (Å): 5.0787 5.0787 7.3546
angles (deg): 90.00 90.00 90.00
Positions (direct):
1 Na 0.0000 0.0000 0.0000
2 Ca 0.0000 0.0000 0.5000
3 Ca 0.5000 0.5000 0.0000
4 Ca 0.5000 0.5000 0.5000
5 Au 0.0000 0.5000 0.2545
6 Au 0.0000 0.5000 0.7455
7 Au 0.5000 0.0000 0.2545
8 Au 0.5000 0.0000 0.7455

Properties
As for the energy relative to the elements: -0.678 eV/atom. Its crystal system is tetragonal.